1.
A plane-wave DFT calculation with PBE was carried out for a relaxed Li2Pu3Ga9 crystal.

```
Li2Pu3Ga9
1.0
-2.8589 0.7701 3.2217
-6.1643 -5.3862 -1.2113
0.7362 -6.4267 5.1608
Pu Ga Li
3 9 2
Cartesian
-4.6588 -8.0450 3.7315
0.0000 0.0000 0.0000
-3.6283 -2.9978 3.4396
-0.8350 -4.3523 3.2707
-5.5279 -9.6191 6.3080
-4.4219 -7.1474 6.6986
-2.7592 -1.4237 0.8632
-0.8957 -1.7047 2.5840
-2.7141 -5.9064 1.9747
-7.4521 -6.6905 3.9005
-3.8652 -3.8954 0.4725
-7.3914 -9.3381 4.5871
-2.8649 -5.7142 4.7663
-5.4221 -5.3286 2.4049
```

Energy of formation, meV per atom: -338

2.
A plane-wave DFT calculation with PBE was carried out for a relaxed KCa2Os crystal.

```
KCa2Os
1.0
3.9715 0.0000 0.0000
0.0000 3.9715 0.0000
0.0000 0.0000 8.8244
Os Ca K
1 2 1
Cartesian
1.9857 1.9857 7.4681
1.9857 1.9857 1.4544
0.0000 0.0000 8.1884
0.0000 0.0000 4.9501
```

Energy of formation, meV per atom: 715

3.
A plane-wave DFT calculation with PBE was carried out for a relaxed EuAlTl2 crystal.

```
EuAlTl2
1.0
-5.3078 -0.6816 -0.0504
-2.5543 -0.7747 -4.6384
-2.0706 -4.8000 -1.1452
Tl Al Eu
2 1 1
Cartesian
-7.4496 -4.6922 -4.3756
-2.4832 -1.5641 -1.4585
-4.9664 -3.1281 -2.9170
0.0000 0.0000 0.0000
```

Energy of formation, meV per atom: -123

4.
A plane-wave DFT calculation with PBE was carried out for a relaxed Te2OsAu crystal.

```
Te2OsAu
1.0
3.3490 0.0000 0.0000
0.0000 4.9456 0.0000
0.0000 0.0000 4.9456
Au Te Os
1 2 1
Cartesian
1.6745 2.4728 0.0000
0.0000 0.0000 0.0000
0.0000 2.4728 2.4728
1.6745 0.0000 2.4728
```

ΔE_f (raw), kJ/mol of formula units: 307

5.
A plane-wave DFT calculation with PBE was carried out for a relaxed La2Mg3In crystal.

```
La2Mg3In
1.0
-2.4628 2.8262 0.8561
-3.8723 -3.1740 -0.6616
3.5718 -2.1844 8.8506
Mg La In
3 2 1
Cartesian
-3.1367 -0.3537 0.7796
-1.6882 -3.0336 5.1580
-3.0102 -1.0918 3.5798
0.0966 -0.5636 2.1383
-0.9248 -0.3755 7.2143
-1.5627 -3.7654 7.9346
```

Energy of formation, meV per atom: -113

6.
A plane-wave DFT calculation with PBE was carried out for a relaxed Sr2TlTc crystal.

```
Sr2TlTc
1.0
10.6047 0.0001 0.0001
9.9815 3.5819 0.0001
9.9815 1.7368 3.1326
Sr Tl Tc
2 1 1
Cartesian
15.5957 2.7136 1.5983
30.2559 5.2645 3.1008
22.9258 3.9891 2.3496
7.6419 1.3297 0.7832
```

Energy of formation, meV per atom: 621

7.
A plane-wave DFT calculation with PBE was carried out for a relaxed Y5Os crystal.

```
Y5Os
1.0
3.4691 0.0000 0.0000
0.0000 3.4691 0.0000
0.0000 0.0000 14.2502
Y Os
5 1
Cartesian
1.7345 1.7345 4.5511
0.0000 0.0000 12.6081
0.0000 0.0000 1.6421
1.7345 1.7345 9.6991
0.0000 0.0000 7.1251
1.7345 1.7345 0.0000
```

Energy of formation, meV per atom: -48

8.
A plane-wave DFT calculation with PBE was carried out for a relaxed Ca2TcOs crystal.

```
Ca2TcOs
1.0
-2.3012 5.0221 -0.8396
-4.1142 1.7143 3.3699
5.1125 -2.2055 0.4689
Ca Os Tc
2 1 1
Cartesian
-3.2077 3.3682 1.2651
0.0000 0.0000 0.0000
-1.1047 1.4385 2.5520
-0.1982 3.0924 0.4472
```

Energy of formation, meV per atom: 749

9.
A plane-wave DFT calculation with PBE was carried out for a relaxed AcMgGa2Hg4 crystal.

```
AcMgGa2Hg4
1.0
4.9574 0.0000 0.0000
2.4787 4.2932 0.0000
2.4787 1.4311 9.1343
Hg Ac Ga Mg
4 1 2 1
Cartesian
4.9574 2.8622 7.4739
7.4361 4.2932 3.6382
2.4787 1.4311 5.4961
4.9574 2.8622 1.6604
0.0000 0.0000 0.0000
7.4361 4.2932 6.8330
2.4787 1.4311 2.3013
4.9574 2.8622 4.5672
```

Energy of formation, meV per atom: -222

10.
A plane-wave DFT calculation with PBE was carried out for a relaxed AgHPt crystal.

```
AgHPt
1.0
2.8474 0.0000 0.0000
0.0000 4.1312 -0.6419
0.0000 -0.4029 6.8272
H Pt Ag
2 2 2
Cartesian
2.1355 0.9275 0.1074
0.7118 2.8008 6.0780
2.1355 3.2189 5.0323
0.7118 0.5094 1.1531
0.7118 0.9518 3.9878
2.1355 2.7765 2.1975
```

11.
A plane-wave DFT calculation with PBE was carried out for a relaxed MgP2SO crystal.

```
MgP2SO
1.0
-2.2706 -4.1280 0.9300
4.0642 -2.4214 -0.8251
0.8390 0.2826 3.3030
P O S Mg
2 1 1 1
Cartesian
-1.1353 -2.0640 0.4650
2.0321 -1.2107 -0.4126
0.4195 0.1413 1.6515
0.0000 0.0000 0.0000
1.3162 -3.1334 1.7039
```

ΔE_f (raw), kJ/mol of formula units: 105

12.
A plane-wave DFT calculation with PBE was carried out for a relaxed CsAlC3 crystal.

```
CsAlC3
1.0
-1.0188 3.1384 3.1772
-4.4646 -0.7941 -0.6472
0.1074 -3.2406 3.2356
C Al Cs
3 1 1
Cartesian
0.0537 -1.6203 1.6178
-0.5094 1.5692 1.5886
-2.2323 -0.3971 -0.3236
-2.6880 -0.4482 2.8828
0.0000 0.0000 0.0000
```

Energy of formation, meV per atom: 4123

13.
A plane-wave DFT calculation with PBE was carried out for a relaxed Re4I2F crystal.

```
Re4I2F
1.0
4.4535 0.0000 0.0000
0.0000 4.4535 0.0000
2.2268 2.2268 6.4357
Re F I
4 1 2
Cartesian
2.2268 0.0000 0.0000
0.0000 2.2268 0.0000
2.2268 2.2268 4.1732
4.4535 4.4535 2.2625
0.0000 0.0000 0.0000
2.2268 2.2268 1.6610
4.4535 4.4535 4.7747
```

ΔE_f (raw), kJ/mol of formula units: 1408

14.
A plane-wave DFT calculation with PBE was carried out for a relaxed Pm4InSn3 crystal.

```
Pm4InSn3
1.0
4.6483 0.0000 0.0000
0.0000 4.3836 0.0000
0.0000 0.0000 11.7205
Sn Pm In
3 4 1
Cartesian
0.0000 0.0000 4.8165
0.0000 2.1918 6.9103
2.3241 0.0000 10.7174
0.0000 0.0000 1.6027
2.3241 0.0000 7.4583
0.0000 2.1918 10.1089
2.3241 2.1918 4.2613
2.3241 2.1918 1.0067
```

Energy of formation, meV per atom: -715

15.
A plane-wave DFT calculation with PBE was carried out for a relaxed NbFeBr2 crystal.

```
NbFeBr2
1.0
5.8171 0.0000 0.0000
0.0000 5.8171 0.0000
2.9085 2.9085 5.1160
Br Nb Fe
4 2 2
Cartesian
7.2713 7.0497 3.8370
4.1412 1.4543 1.2790
1.6758 4.3628 1.2790
4.3628 4.5844 3.8370
0.0000 0.0000 0.0000
5.8171 2.9085 2.5580
2.9085 2.9085 0.0000
2.9085 5.8171 2.5580
```

ΔE_f (raw), kJ/mol of formula units: 306

16.
A plane-wave DFT calculation with PBE was carried out for a relaxed LaCd2Cl crystal.

```
LaCd2Cl
1.0
-3.4301 -0.6814 -1.3832
-0.2724 -4.6644 2.9733
-2.3071 2.8780 4.3035
La Cd Cl
1 2 1
Cartesian
-3.5816 -0.5145 4.0227
-2.3045 2.8746 4.2985
-1.1563 1.4423 2.1568
-2.4280 -1.9534 1.8709
```

ΔE_f (raw), kJ/mol of formula units: -229

17.
A plane-wave DFT calculation with PBE was carried out for a relaxed Rb4Ga2Ge5 crystal.

```
Rb4Ga2Ge5
1.0
5.9326 0.0000 0.0000
0.0000 7.3122 0.0078
0.0000 0.3134 7.9067
Ge Rb Ga
5 4 2
Cartesian
0.0000 3.3595 6.8419
0.0000 2.8934 3.1175
0.0000 0.1567 3.9533
0.0000 4.2662 1.0726
0.0000 4.7323 4.7970
2.9663 5.7754 6.8299
2.9663 2.1241 4.9867
2.9663 5.5015 2.9278
2.9663 1.8503 1.0846
0.0000 6.8161 1.2180
0.0000 0.8096 6.6966
```

Energy of formation, meV per atom: -34

18.
A plane-wave DFT calculation with PBE was carried out for a relaxed Zr3Sc2 crystal.

```
Zr3Sc2
1.0
-1.6848 -4.9149 -3.0740
2.0934 -5.4298 1.6062
-5.9511 -4.3715 4.3233
Sc Zr
4 6
Cartesian
-2.4735 -3.8440 1.5739
-5.2448 -11.2021 3.0016
-3.0691 -10.8721 1.2815
-0.2978 -3.5140 -0.1462
-3.3143 -8.5791 3.6790
-5.2034 -8.3230 1.3387
-4.3617 -5.8647 2.8749
-2.2283 -6.1371 -0.8236
-0.3392 -6.3932 1.5167
-1.1809 -8.8515 -0.0195
```

Energy of formation, meV per atom: 366

19.
A plane-wave DFT calculation with PBE was carried out for a relaxed PmGaPd6 crystal.

```
PmGaPd6
1.0
4.1095 0.0000 0.0000
0.0000 4.1095 0.0000
0.0000 0.0000 7.9247
Pm Pd Ga
1 6 1
Cartesian
0.0000 0.0000 0.0000
0.0000 2.0547 5.7729
0.0000 2.0547 2.1518
2.0547 0.0000 2.1518
2.0547 0.0000 5.7729
2.0547 2.0547 3.9624
2.0547 2.0547 0.0000
0.0000 0.0000 3.9624
```

Energy of formation, meV per atom: -621

20.
A plane-wave DFT calculation with PBE was carried out for a relaxed IrRh2Br crystal.

```
IrRh2Br
1.0
5.7095 0.2194 -0.0099
2.9818 4.8740 0.0099
-3.7115 -3.6289 2.3881
Rh Br Ir
2 1 1
Cartesian
3.3603 -0.3210 1.1891
0.0888 0.0521 0.0000
4.2236 2.4751 0.0000
1.6528 1.8049 1.1990
```

ΔE_f (raw), kJ/mol of formula units: 266

no.,V (Å³ per cell),DFT total energy (eV/atom),density of states at the Fermi level (states/eV per atom)
1,266,-5.629,2.74
2,139,-3.367,1.35
3,108,-4.811,0.62
4,82,-4.402,1.00
5,180,-3.009,0.91
6,119,-3.403,0.99
7,171,-7.306,1.14
8,77,-5.650,1.37
9,194,-1.843,0.63
10,80,-4.003,0.33
11,79,-4.083,0.60
12,96,-2.330,0.94
13,128,-5.739,1.18
14,239,-4.934,0.75
15,173,-4.677,1.35
16,118,-2.746,0.66
17,343,-3.035,0.40
18,247,-7.296,2.21
19,134,-5.488,0.98
20,65,-5.620,1.18